Entry 1:
The following is a PBE calculation of a geometry-optimized Sr2Zn2Ge3 structure, from the Alexandria database.

Structure (extended XYZ):
```
14
Lattice="-2.184 4.184 0.280 -0.484 0.217 -7.019 -7.440 -6.575 0.310" Properties=species:S:1:pos:R:3 pbc="T T T"
Ge -7.942 -3.735 -6.129
Zn -5.364 -2.789 -0.149
Ge -2.341 1.638 -2.820
Zn -4.745 0.615 -6.280
Zn -5.546 -2.707 -2.798
Sr -8.902 -1.894 -1.209
Sr -2.799 -1.353 -1.614
Sr -7.310 -0.821 -4.816
Sr -1.206 -0.280 -5.220
Ge -5.957 -0.347 -1.365
Zn -4.562 0.533 -3.631
Ge -7.768 -3.812 -3.609
Ge -2.167 1.560 -0.300
Ge -4.151 -1.828 -5.065
```

ΔE_f, kJ/mol of formula units: -281.4
Density of states at the Fermi level, states/eV/atom: 0.364

Entry 2:
The following is a PBE calculation of a geometry-optimized SrZnGe2 structure, from the Alexandria database.

Structure (extended XYZ):
```
8
Lattice="4.967 0.000 0.000 0.000 4.967 0.000 2.483 2.483 8.590" Properties=species:S:1:pos:R:3 pbc="T T T"
Ge 3.725 4.436 6.443
Zn 2.483 2.483 0.000
Sr 4.967 2.483 4.295
Ge 6.209 5.497 6.443
Ge 3.014 1.242 2.148
Ge 1.953 3.725 2.148
Zn 2.483 4.967 4.295
Sr 0.000 0.000 0.000
```

ΔE_f, kJ/mol of formula units: -62.6
Density of states at the Fermi level, states/eV/atom: 0.271

Entry 3:
The following is a PBE calculation of a geometry-optimized SrZn2Ge2 structure, from the Alexandria database.

Structure (extended XYZ):
```
10
Lattice="7.958 0.000 0.000 0.000 7.958 0.000 0.000 0.000 3.377" Properties=species:S:1:pos:R:3 pbc="T T T"
Ge 2.939 6.917 0.000
Sr 0.000 0.000 0.000
Zn 2.783 1.196 1.688
Ge 5.019 1.040 0.000
Ge 1.040 2.939 0.000
Zn 5.175 6.762 1.688
Zn 1.196 5.175 1.688
Zn 6.762 2.783 1.688
Sr 3.979 3.979 0.000
Ge 6.917 5.019 0.000
```

ΔE_f, kJ/mol of formula units: -6.9
Density of states at the Fermi level, states/eV/atom: 0.477

Entry 4:
The following is a PBE calculation of a geometry-optimized Sr2ZnGe3 structure, from the Alexandria database.

Structure (extended XYZ):
```
12
Lattice="6.345 0.355 0.000 0.108 6.354 0.000 -3.226 -3.354 7.500" Properties=species:S:1:pos:R:3 pbc="T T T"
Ge 1.710 4.813 1.262
Zn 0.000 0.000 5.002
Ge 3.226 3.354 4.969
Ge 4.743 1.896 1.262
Sr 1.547 1.608 0.000
Zn 3.226 3.354 2.497
Sr 3.173 0.177 3.750
Ge -1.516 1.459 6.237
Sr 4.906 5.101 0.000
Ge 0.000 0.000 2.530
Ge 1.516 -1.459 6.237
Sr 0.054 3.177 3.750
```

ΔE_f, kJ/mol of formula units: -289.0
Density of states at the Fermi level, states/eV/atom: 0.382

Entry 5:
The following is a PBE calculation of a geometry-optimized SrZn4Ge2 structure, from the Alexandria database.

Structure (extended XYZ):
```
7
Lattice="-1.212 4.150 1.114 -2.890 0.661 3.337 4.822 1.993 6.766" Properties=species:S:1:pos:R:3 pbc="T T T"
Ge 0.233 1.704 2.849
Sr 0.000 0.000 0.000
Zn -1.489 4.975 6.682
Zn 2.209 1.829 4.536
Zn -1.046 3.314 4.409
Ge 0.488 5.100 8.368
Zn 1.766 3.490 6.809
```

ΔE_f, kJ/mol of formula units: -109.7
Density of states at the Fermi level, states/eV/atom: 0.204

Entry 6:
The following is a PBE calculation of a geometry-optimized Sr3ZrGe structure, from the Alexandria database.

Structure (extended XYZ):
```
5
Lattice="6.035 0.000 0.000 0.000 6.035 0.000 0.000 0.000 6.035" Properties=species:S:1:pos:R:3 pbc="T T T"
Zr 3.018 3.018 3.018
Sr 3.018 0.000 0.000
Ge 0.000 0.000 0.000
Sr 0.000 3.018 0.000
Sr 0.000 0.000 3.018
```

ΔE to the lowest computed polymorph, meV/atom: 0
ΔE_f, kJ/mol of formula units: 205.5
Density of states at the Fermi level, states/eV/atom: 1.444

Entry 7:
The following is a PBE calculation of a geometry-optimized Sr3ZrGe structure, from the Alexandria database.

Structure (extended XYZ):
```
5
Lattice="5.981 0.000 0.000 0.000 5.981 0.000 0.000 0.000 5.981" Properties=species:S:1:pos:R:3 pbc="T T T"
Sr 0.000 0.000 2.990
Sr 2.990 0.000 0.000
Sr 0.000 2.990 0.000
Ge 2.990 2.990 2.990
Zr 0.000 0.000 0.000
```

ΔE to the lowest computed polymorph, meV/atom: 560
ΔE_f, kJ/mol of formula units: 475.8
Density of states at the Fermi level, states/eV/atom: 1.595

Entry 8:
The following is a PBE calculation of a geometry-optimized Sr2ZrGe2 structure, from the Alexandria database.

Structure (extended XYZ):
```
5
Lattice="-2.272 3.320 1.788 -3.757 -2.172 -0.741 -2.521 -2.341 6.563" Properties=species:S:1:pos:R:3 pbc="T T T"
Zr 0.000 0.000 0.000
Sr -3.903 0.776 4.437
Ge -2.928 0.062 1.585
Sr -4.646 -1.970 3.173
Ge -5.622 -1.255 6.025
```

ΔE_f, kJ/mol of formula units: 21.8
Density of states at the Fermi level, states/eV/atom: 0.398